(1)
The following is a DFT calculation (PBE) of crystalline Li5Ac12Ce3 at its relaxed geometry.

abc: 16.533 16.533 16.533
angles: 109.47 109.47 109.47
Last column: magnetic moment on the atom in μB.
Fractional coordinates of all 80 atoms:
Ce 0.750 0.875 0.625  1.09
Ce 0.125 0.875 0.750  1.09
Ce 0.750 0.375 0.125  1.09
Ce 0.625 0.375 0.750  1.09
Ce 0.125 0.250 0.875  1.09
Ce 0.375 0.750 0.625  1.09
Ce 0.375 0.625 0.250  1.09
Ce 0.875 0.125 0.250  1.09
Ce 0.250 0.625 0.875  1.09
Ce 0.625 0.250 0.375  1.09
Ce 0.250 0.125 0.375  1.09
Ce 0.875 0.750 0.125  1.09
Ac 0.053 0.624 0.722  0.10
Ac 0.722 0.597 0.169  0.10
Ac 0.903 0.071 0.624  0.10
Ac 0.669 0.447 0.571  0.10
Ac 0.071 0.169 0.447  0.10
Ac 0.447 0.778 0.876  0.10
Ac 0.929 0.097 0.876  0.10
Ac 0.429 0.053 0.331  0.10
Ac 0.722 0.124 0.053  0.10
Ac 0.447 0.669 0.071  0.10
Ac 0.947 0.571 0.169  0.10
Ac 0.429 0.376 0.597  0.10
Ac 0.124 0.722 0.553  0.10
Ac 0.169 0.071 0.947  0.10
Ac 0.831 0.929 0.053  0.10
Ac 0.778 0.331 0.903  0.10
Ac 0.124 0.403 0.071  0.10
Ac 0.053 0.429 0.831  0.10
Ac 0.624 0.571 0.903  0.10
Ac 0.097 0.929 0.376  0.10
Ac 0.097 0.169 0.222  0.10
Ac 0.624 0.053 0.222  0.10
Ac 0.222 0.553 0.624  0.10
Ac 0.376 0.947 0.778  0.10
Ac 0.331 0.553 0.429  0.10
Ac 0.403 0.278 0.331  0.10
Ac 0.553 0.331 0.929  0.10
Ac 0.903 0.831 0.778  0.10
Ac 0.571 0.624 0.403  0.10
Ac 0.597 0.722 0.669  0.10
Ac 0.403 0.124 0.571  0.10
Ac 0.571 0.947 0.669  0.10
Ac 0.071 0.903 0.124  0.10
Ac 0.222 0.669 0.097  0.10
Ac 0.278 0.876 0.947  0.10
Ac 0.876 0.278 0.447  0.10
Ac 0.831 0.903 0.278  0.10
Ac 0.947 0.376 0.278  0.10
Ac 0.669 0.222 0.597  0.10
Ac 0.876 0.597 0.929  0.10
Ac 0.778 0.447 0.376  0.10
Ac 0.553 0.222 0.124  0.10
Ac 0.278 0.403 0.831  0.10
Ac 0.597 0.876 0.429  0.10
Ac 0.929 0.831 0.553  0.10
Ac 0.169 0.097 0.722  0.10
Ac 0.376 0.429 0.097  0.10
Ac 0.331 0.778 0.403  0.10
Li 0.000 0.000 0.000  0.01
Li 0.375 0.250 0.125  0.00
Li 0.000 0.500 0.500  0.01
Li 0.500 0.000 0.000  0.01
Li 0.625 0.875 0.250  0.00
Li 0.500 0.000 0.500  0.01
Li 0.000 0.000 0.500  0.01
Li 0.500 0.500 0.500  0.01
Li 0.000 0.500 0.000  0.01
Li 0.250 0.375 0.625  0.00
Li 0.375 0.125 0.750  0.00
Li 0.125 0.750 0.375  0.00
Li 0.500 0.500 0.000  0.01
Li 0.125 0.375 0.250  0.00
Li 0.875 0.250 0.625  0.00
Li 0.750 0.125 0.875  0.00
Li 0.625 0.750 0.875  0.00
Li 0.875 0.625 0.750  0.00
Li 0.750 0.625 0.375  0.00
Li 0.250 0.875 0.125  0.00

---

(2)
The following is a DFT calculation (PBE) of crystalline LiTbP at its relaxed geometry.

abc: 4.486 4.486 4.486
angles: 60.00 60.00 60.00
Fractional coordinates of all 3 atoms:
Tb 0.500 0.500 0.500
Li 0.000 0.000 0.000
P 0.250 0.250 0.250

---

Number 1: raw total energy -3.16 eV per atom, M_tot 29.1 μB/cell. Number 2: raw total energy -4.91 eV per atom, M_tot 0.0 μB/cell.